i) Material: BeBPS2
Method: DFT, PBE-GGA
State: relaxed

Cell: 4.3941 4.3941 4.0602 Å, 90.00 90.00 90.00°
Atoms (fractional coordinates):
Be1 0.0000 0.0000 0.0000
B1 0.5000 0.5000 0.5000
P1 0.0000 0.0000 0.5000
S1 0.0000 0.5000 0.0000
S2 0.5000 0.0000 0.0000

Values from the calculation:
As for the spin magnetization: 0.00 μB/cell. The calculation puts the density of states at the Fermi level at 2.49 states/eV/f.u.



ii) Material: BeBPS2
Method: DFT, PBE-GGA
State: relaxed

Cell: 4.3655 4.3655 3.7524 Å, 90.00 90.00 90.00°
Atoms (fractional coordinates):
Be1 0.0000 0.0000 0.0000
B1 0.5000 0.5000 0.5000
P1 0.5000 0.5000 0.0000
S1 0.0000 0.5000 0.5000
S2 0.5000 0.0000 0.5000

Values from the calculation:
As for the spin magnetization: 0.00 μB/cell. The calculation puts the density of states at the Fermi level at 3.18 states/eV/f.u.



Most stable: ii) (next structure +299 meV/atom)